Computed, not measured: an optimized crystal structure of Ce4NdIr4 at the PBE level of DFT.

```
data_Ce4NdIr4
_chemical_formula_sum 'Ce8 Nd2 Ir8'
_symmetry_space_group_name_H-M 'I 4/m'
_symmetry_Int_Tables_number 87
_symmetry_space_group_name_Hall '-I 4'
_cell_length_a 9.122
_cell_length_b 9.122
_cell_length_c 5.638
_cell_angle_alpha 90.00
_cell_angle_beta 90.00
_cell_angle_gamma 90.00
loop_
_atom_site_label
_atom_site_fract_x
_atom_site_fract_y
_atom_site_fract_z
Ce1 0.104 0.686 0.000
Nd1 0.000 0.000 0.500
Ir1 0.111 0.696 0.500
```

Results
- Formation energy from the elements: -0.66 eV/atom
- Crystal system: tetragonal
- D(E_F): 23.86 states/eV per cell
- Total DFT energy (no corrections): -7.77 eV/atom